1) {"formula": "TcNi", "functional": "SCAN", "state": "PBEsol geometry", "lattice_angstrom": [[-2.4879, 0.6849, 0.4576], [-0.2218, -4.2678, -2.3221], [0.6711, -1.5217, 5.9257]], "species": ["Ni", "Ni", "Ni", "Tc", "Tc", "Tc"], "frac_coords": [[0.9970, 0.9939, 0.0035], [0.3930, 0.7860, 0.2737], [0.3334, 0.6667, 0.6670], [0.6737, 0.3473, 0.3335], [0.0505, 0.1011, 0.6094], [0.7191, 0.4383, 0.9462]]}

2) {"formula": "TcNi", "functional": "SCAN", "state": "PBEsol geometry", "lattice_angstrom": [[-1.6448, -0.5667, -3.7443], [-0.1954, -4.4711, 0.7626], [-4.7328, 0.5473, 1.9962]], "species": ["Ni", "Ni", "Ni", "Ni", "Tc", "Tc", "Tc", "Tc"], "frac_coords": [[0.7500, 0.4245, 0.8793], [0.2500, 0.0755, 0.3793], [0.7500, 0.9245, 0.6207], [0.2500, 0.5755, 0.1207], [0.7500, 0.4135, 0.3747], [0.2500, 0.0865, 0.8747], [0.7500, 0.9135, 0.1253], [0.2500, 0.5865, 0.6253]]}

3) {"formula": "TcNi", "functional": "SCAN", "state": "PBEsol geometry", "lattice_angstrom": [[2.5100, 0.0000, 0.0000], [0.0000, 4.0189, 0.0000], [-1.2550, 0.0000, 4.7850]], "species": ["Ni", "Ni", "Tc", "Tc"], "frac_coords": [[0.5644, 0.7500, 0.1288], [0.4356, 0.2500, 0.8712], [0.8277, 0.7500, 0.6555], [0.1723, 0.2500, 0.3445]]}

Which of them is most stable, and which least? Most stable: 2); least stable: 1).

1) {"formula": "Tc3Ni", "functional": "SCAN", "state": "PBEsol geometry", "lattice_angstrom": [[2.6862, 0.0000, 0.0000], [0.0000, 4.2202, 0.0000], [0.0000, 0.0000, 4.6149]], "species": ["Ni", "Tc", "Tc", "Tc"], "frac_coords": [[0.0000, 0.0000, 0.9953], [0.0000, 0.5000, 0.3258], [0.5000, 0.0000, 0.5054], [0.5000, 0.5000, 0.8401]]}

2) {"formula": "Tc3Ni", "functional": "SCAN", "state": "PBEsol geometry", "lattice_angstrom": [[-2.0112, 1.5584, -0.2501], [0.3507, -1.6932, -4.6599], [-1.7732, -3.1370, 3.4234]], "species": ["Ni", "Tc", "Tc", "Tc"], "frac_coords": [[0.0000, 0.0000, 0.0000], [0.5000, 0.0000, 0.5000], [0.0000, 0.5000, 0.5000], [0.5000, 0.5000, 0.0000]]}

Which of them is most stable, and which least? Most stable: 1); least stable: 2).

1) {"formula": "Tc3Ni", "functional": "SCAN", "state": "PBEsol geometry", "lattice_angstrom": [[-0.2125, -5.2868, 0.0098], [1.2281, 2.5901, -4.4473], [8.3037, -0.3298, 2.1010]], "species": ["Ni", "Ni", "Ni", "Ni", "Tc", "Tc", "Tc", "Tc", "Tc", "Tc", "Tc", "Tc", "Tc", "Tc", "Tc", "Tc"], "frac_coords": [[0.0000, 0.0000, 0.0000], [0.0000, 0.0000, 0.5000], [0.6667, 0.3333, 0.7500], [0.3333, 0.6667, 0.2500], [0.0000, 0.5000, 0.0000], [0.0000, 0.5000, 0.5000], [0.8339, 0.1661, 0.2500], [0.8339, 0.6678, 0.2500], [0.6678, 0.8339, 0.7500], [0.5000, 0.5000, 0.0000], [0.5000, 0.5000, 0.5000], [0.5000, 0.0000, 0.0000], [0.5000, 0.0000, 0.5000], [0.3322, 0.1661, 0.2500], [0.1661, 0.3322, 0.7500], [0.1661, 0.8339, 0.7500]]}

2) {"formula": "Tc3Ni", "functional": "SCAN", "state": "PBEsol geometry", "lattice_angstrom": [[-3.0290, 2.3746, -1.7196], [-1.6429, -1.0587, -3.7351], [-3.9481, -1.4598, -0.2285]], "species": ["Ni", "Tc", "Tc", "Tc"], "frac_coords": [[0.0000, 0.0000, 0.0000], [0.7500, 0.7500, 0.7500], [0.5000, 0.5000, 0.5000], [0.2500, 0.2500, 0.2500]]}

3) {"formula": "Tc3Ni", "functional": "SCAN", "state": "PBEsol geometry", "lattice_angstrom": [[-3.1174, 2.1960, 1.8853], [0.3327, -2.6993, 3.6942], [3.6031, 3.3144, 2.0973]], "species": ["Ni", "Ni", "Tc", "Tc", "Tc", "Tc", "Tc", "Tc"], "frac_coords": [[0.0000, 0.6696, 0.0000], [0.5000, 0.3304, 0.5000], [0.5000, 0.3353, 0.0000], [0.0000, 0.1714, 0.7526], [0.5000, 0.8286, 0.7474], [0.0000, 0.6647, 0.5000], [0.0000, 0.1714, 0.2474], [0.5000, 0.8286, 0.2526]]}

4) {"formula": "Tc3Ni", "functional": "SCAN", "state": "PBEsol geometry", "lattice_angstrom": [[-1.8766, 0.5837, -3.8987], [-2.6505, -3.3831, 0.7693], [-2.9181, 2.6974, 1.8085]], "species": ["Ni", "Tc", "Tc", "Tc"], "frac_coords": [[0.0000, 0.0000, 0.0000], [0.5000, 0.0000, 0.0000], [0.0000, 0.5000, 0.0000], [0.0000, 0.0000, 0.5000]]}

Which of them is most stable, and which least? Most stable: 3); least stable: 4).

1) {"formula": "TcNi5", "functional": "SCAN", "state": "PBEsol geometry", "lattice_angstrom": [[-0.2302, 1.7974, -1.7435], [-2.0175, 0.9040, 1.1982], [6.1382, 6.2430, 5.6255]], "species": ["Ni", "Ni", "Ni", "Ni", "Ni", "Tc"], "frac_coords": [[0.0000, 0.0000, 0.8234], [0.0000, 0.0000, 0.1766], [0.5000, 0.5000, 0.6593], [0.5000, 0.5000, 0.3407], [0.0000, 0.0000, 0.5000], [0.5000, 0.5000, 0.0000]]}

2) {"formula": "TcNi5", "functional": "SCAN", "state": "PBEsol geometry", "lattice_angstrom": [[-0.9694, 1.2517, -1.9624], [-1.2632, -4.5460, -0.6557], [-4.1895, 2.2063, 3.4768]], "species": ["Ni", "Ni", "Ni", "Ni", "Ni", "Tc"], "frac_coords": [[0.9985, 0.9970, 0.0047], [0.3896, 0.7792, 0.2796], [0.6696, 0.3392, 0.3354], [0.0547, 0.1093, 0.6062], [0.3343, 0.6686, 0.6654], [0.7200, 0.4401, 0.9421]]}

3) {"formula": "TcNi5", "functional": "SCAN", "state": "PBEsol geometry", "lattice_angstrom": [[2.5019, 0.0000, 0.0000], [0.0000, 4.0542, 0.0000], [-1.2509, 0.0000, 6.4920]], "species": ["Ni", "Ni", "Ni", "Ni", "Ni", "Tc"], "frac_coords": [[0.0012, 0.0000, 0.0024], [0.6659, 0.0000, 0.3318], [0.3287, 0.0000, 0.6573], [0.5589, 0.5000, 0.1179], [0.2211, 0.5000, 0.4421], [0.8909, 0.5000, 0.7818]]}

4) {"formula": "TcNi5", "functional": "SCAN", "state": "PBEsol geometry", "lattice_angstrom": [[3.5191, 0.0000, 0.0000], [0.0000, 3.5258, 0.0000], [0.0000, 1.7629, 5.2710]], "species": ["Ni", "Ni", "Ni", "Ni", "Ni", "Tc"], "frac_coords": [[0.5000, 0.3324, 0.3352], [0.0000, 0.1643, 0.6715], [0.5000, 0.0000, 0.0000], [0.0000, 0.8357, 0.3285], [0.5000, 0.6676, 0.6648], [0.0000, 0.5000, 0.0000]]}

Which of them is most stable, and which least? Most stable: 1); least stable: 2).

1) {"formula": "TcNiW2", "functional": "SCAN", "state": "PBEsol geometry", "lattice_angstrom": [[-1.0648, 2.9750, 0.0597], [-0.2094, -0.1381, 3.1503], [5.2798, 1.8810, 0.4334]], "species": ["Ni", "Tc", "W", "W"], "frac_coords": [[0.0000, 0.0000, 0.4892], [0.5000, 0.5000, 0.7386], [0.0000, 0.0000, 0.9918], [0.5000, 0.5000, 0.2804]]}

2) {"formula": "TcNiW2", "functional": "SCAN", "state": "PBEsol geometry", "lattice_angstrom": [[-0.8371, -2.4437, -1.8556], [-0.6975, -1.7215, 2.5818], [-5.1962, 1.8894, -0.1439]], "species": ["Ni", "Tc", "W", "W"], "frac_coords": [[0.5000, 0.5000, 0.0000], [0.5000, 0.5000, 0.5000], [0.0000, 0.0000, 0.7646], [0.0000, 0.0000, 0.2354]]}

Which of them is most stable, and which least? Most stable: 1); least stable: 2).

1) {"formula": "YTc2Ni", "functional": "SCAN", "state": "PBEsol geometry", "lattice_angstrom": [[2.7360, 0.0000, 0.0000], [1.3680, 2.3694, 0.0000], [1.3680, 0.7898, 9.4595]], "species": ["Ni", "Tc", "Tc", "Y"], "frac_coords": [[0.0000, 0.0000, 0.0000], [0.2622, 0.2622, 0.2134], [0.7378, 0.7378, 0.7866], [0.5000, 0.5000, 0.5000]]}

2) {"formula": "YTc2Ni", "functional": "SCAN", "state": "PBEsol geometry", "lattice_angstrom": [[-1.9933, 3.6587, -1.5171], [-3.1435, 1.9785, 2.4218], [0.8100, 3.9195, 1.9085]], "species": ["Ni", "Tc", "Tc", "Y"], "frac_coords": [[0.2500, 0.2500, 0.2500], [0.0000, 0.0000, 0.0000], [0.7500, 0.7500, 0.7500], [0.5000, 0.5000, 0.5000]]}

Which of them is most stable, and which least? Most stable: 2); least stable: 1).

1) {"formula": "ZrTcNi", "functional": "SCAN", "state": "PBEsol geometry", "lattice_angstrom": [[4.1402, 0.0000, 0.0000], [2.0701, 3.5856, 0.0000], [2.0701, 1.1952, 3.3805]], "species": ["Ni", "Tc", "Zr"], "frac_coords": [[0.2500, 0.2500, 0.2500], [0.0000, 0.0000, 0.0000], [0.5000, 0.5000, 0.5000]]}

2) {"formula": "ZrTcNi", "functional": "SCAN", "state": "PBEsol geometry", "lattice_angstrom": [[2.7243, 0.1036, 0.0000], [-0.1168, 2.7238, 0.0000], [-1.3037, -1.4137, 5.9913]], "species": ["Ni", "Tc", "Zr"], "frac_coords": [[0.0127, 0.0127, 0.0254], [0.6475, 0.6475, 0.2949], [0.3398, 0.3398, 0.6797]]}

Which of them is most stable, and which least? Most stable: 2); least stable: 1).

1) {"formula": "ZrTc2Ni", "functional": "SCAN", "state": "PBEsol geometry", "lattice_angstrom": [[2.7613, 0.0000, 0.0000], [1.3806, 2.3913, 0.0000], [1.3806, 0.7971, 8.9470]], "species": ["Ni", "Tc", "Tc", "Zr"], "frac_coords": [[0.2552, 0.2552, 0.2345], [0.9987, 0.9987, 0.0039], [0.7419, 0.7419, 0.7742], [0.5042, 0.5042, 0.4874]]}

2) {"formula": "ZrTc2Ni", "functional": "SCAN", "state": "PBEsol geometry", "lattice_angstrom": [[-1.6217, 2.5818, 0.9389], [0.3725, -0.8735, 3.0455], [4.9942, 3.0418, 0.2615]], "species": ["Ni", "Tc", "Tc", "Zr"], "frac_coords": [[0.5000, 0.5000, 0.5000], [0.0000, 0.0000, 0.7071], [0.0000, 0.0000, 0.2929], [0.5000, 0.5000, 0.0000]]}

Which of them is most stable, and which least? Most stable: 2); least stable: 1).

1) {"formula": "TlZnNi2", "functional": "SCAN", "state": "PBEsol geometry", "lattice_angstrom": [[-0.8780, 3.1851, -1.0618], [-3.7428, -1.2247, -0.5790], [-0.9063, 0.9995, 3.7440]], "species": ["Ni", "Ni", "Tl", "Zn"], "frac_coords": [[0.0000, 0.0000, 0.0000], [0.0000, 0.5000, 0.5000], [0.5000, 0.5000, 0.0000], [0.5000, 0.0000, 0.5000]]}

2) {"formula": "TlZnNi2", "functional": "SCAN", "state": "PBEsol geometry", "lattice_angstrom": [[3.0478, 0.0000, 0.0000], [0.0000, 3.0478, 0.0000], [0.0000, 0.0000, 6.2048]], "species": ["Ni", "Ni", "Tl", "Zn"], "frac_coords": [[0.0000, 0.0000, 0.0008], [0.5000, 0.5000, 0.2112], [0.0000, 0.0000, 0.4707], [0.5000, 0.5000, 0.8172]]}

Which of them is most stable, and which least? Most stable: 1); least stable: 2).

1) {"formula": "TlZn2Ni", "functional": "SCAN", "state": "PBEsol geometry", "lattice_angstrom": [[4.0423, 0.0000, 0.0000], [0.0000, 3.7990, 0.7334], [0.0000, -0.7310, 3.7995]], "species": ["Ni", "Tl", "Zn", "Zn"], "frac_coords": [[0.5000, 0.0000, 0.0000], [0.5000, 0.5000, 0.5000], [0.0000, 0.5000, 0.0000], [0.0000, 0.0000, 0.5000]]}

2) {"formula": "TlZn2Ni", "functional": "SCAN", "state": "PBEsol geometry", "lattice_angstrom": [[-2.5537, 2.9936, 0.1273], [-1.7595, -1.3628, -3.2475], [-0.2486, -2.9609, 3.7636]], "species": ["Ni", "Tl", "Zn", "Zn"], "frac_coords": [[0.5000, 0.5000, 0.0000], [0.2500, 0.7500, 0.5000], [0.0000, 0.0000, 0.0000], [0.7500, 0.2500, 0.5000]]}

Which of them is most stable, and which least? Most stable: 2); least stable: 1).

1) {"formula": "NiW2", "functional": "SCAN", "state": "PBEsol geometry", "lattice_angstrom": [[-0.5611, 2.4898, 0.2700], [-2.5792, -0.9504, 3.4042], [4.2362, 0.8847, 0.6447]], "species": ["Ni", "W", "W"], "frac_coords": [[0.0000, 0.0000, 0.0000], [0.6814, 0.6667, 0.3333], [0.3186, 0.3333, 0.6667]]}

2) {"formula": "NiW2", "functional": "SCAN", "state": "PBEsol geometry", "lattice_angstrom": [[-0.1925, -3.0624, 0.8894], [2.9482, 0.1688, 1.2192], [-2.9594, 2.6102, 2.6092]], "species": ["Ni", "W", "W"], "frac_coords": [[0.0000, 0.0000, 0.0000], [0.3351, 0.3351, 0.6702], [0.6649, 0.6649, 0.3298]]}

Which of them is most stable, and which least? Most stable: 1); least stable: 2).

1) {"formula": "YNiW2", "functional": "SCAN", "state": "PBEsol geometry", "lattice_angstrom": [[-1.0577, -2.0585, -1.8936], [-0.7213, -2.7686, 3.4126], [-3.7488, 4.2947, -0.2136]], "species": ["Ni", "W", "W", "Y"], "frac_coords": [[0.0000, 0.5000, 0.0000], [0.7243, 0.7243, 0.4487], [0.2757, 0.2757, 0.5513], [0.5000, 0.0000, 0.0000]]}

2) {"formula": "YNiW2", "functional": "SCAN", "state": "PBEsol geometry", "lattice_angstrom": [[2.8062, 0.0000, 0.0000], [1.4031, 2.4303, 0.0000], [1.4031, 0.8101, 9.6504]], "species": ["Ni", "W", "W", "Y"], "frac_coords": [[0.0000, 0.0000, 0.0000], [0.2623, 0.2623, 0.2132], [0.7377, 0.7377, 0.7868], [0.5000, 0.5000, 0.5000]]}

Which of them is most stable, and which least? Most stable: 1); least stable: 2).